Here is a crystal of ZrGaAgTe2 relaxed with PBEsol from the Alexandria database. Energies are from SCAN.

Summary:
* V: 159.7 Å³/cell
* uncorrected formation energy: 0.13 eV/atom

abc: 5.301 5.488 5.488
angles: 90.00 90.00 90.00
Element x y z (fractional)
Ga 0.500 0.500 0.500
Te 0.000 0.000 0.500
Te 0.000 0.500 0.000
Zr 0.000 0.000 0.000
Ag 0.500 0.000 0.000